A plane-wave DFT calculation with PBE was carried out for an optimized crystal structure of Ru2RhI.

It has space group I-42d (No. 122), with a = 5.839 Å, b = 5.839 Å, c = 11.015 Å, α = 90.00°, β = 90.00° and γ = 90.00°. The distinct sites, in fractional coordinates, are Ru at (0.225, 0.250, 0.125), Rh at (0.000, 0.000, 0.000) and I at (0.000, 0.000, 0.500).

Its energy above the most stable polymorph in this dataset is 0.302 eV/atom. As for the crystal system: tetragonal. The density comes out at 7.639 g/cm3. As for the total energy: -5.724 eV per atom. Its magnetic moment is 0.00 μB/f.u. The calculation puts the calculated volume at 23.47 Å³ per atom.